Record 1
{"formula": "CaPm5Se6", "functional": "PBE", "state": "relaxed", "total_energy_ev_per_cell": -69.0, "lattice": [[0.664, -6.110, -3.881], [6.521, -0.155, -3.163], [5.636, -3.021, 3.459]], "species": ["Ca", "Se", "Se", "Se", "Se", "Se", "Se", "Pm", "Pm", "Pm", "Pm", "Pm"], "frac_coords": [[0.000, 0.000, 0.000], [0.752, 0.083, 0.328], [0.248, 0.589, 0.328], [0.247, 0.246, 0.000], [0.753, 0.754, 0.000], [0.752, 0.411, 0.672], [0.248, 0.917, 0.672], [0.500, 0.168, 0.664], [0.000, 0.333, 0.335], [0.500, 0.500, 0.000], [0.000, 0.667, 0.665], [0.500, 0.832, 0.336]]}



Record 2
{"formula": "PmY6Er5", "functional": "PBE", "state": "relaxed", "total_energy_ev_per_cell": -66.0, "lattice": [[-2.968, -3.704, -1.629], [4.502, -6.402, -1.391], [-1.400, -3.042, 9.467]], "species": ["Y", "Y", "Y", "Y", "Y", "Y", "Pm", "Er", "Er", "Er", "Er", "Er"], "frac_coords": [[0.167, 0.666, 0.251], [0.167, 0.666, 0.749], [0.500, 0.000, 0.748], [0.500, 0.000, 0.252], [0.833, 0.334, 0.251], [0.833, 0.334, 0.749], [0.000, 0.000, 0.000], [0.333, 0.333, 0.500], [0.668, 0.665, 0.000], [0.000, 0.000, 0.500], [0.332, 0.335, 0.000], [0.667, 0.667, 0.500]]}



Record 3
{"formula": "CaTaMo2", "functional": "PBE", "state": "relaxed", "e_above_lowest_polymorph_mev_per_atom": 281, "lattice": [[4.703, 0.000, 0.000], [2.352, 4.073, 0.000], [2.352, 1.358, 3.840]], "species": ["Mo", "Mo", "Ca", "Ta"], "frac_coords": [[0.000, 0.000, 0.000], [0.750, 0.750, 0.750], [0.500, 0.500, 0.500], [0.250, 0.250, 0.250]]}



Record 4
{"formula": "Li2Al2ZnCu5", "functional": "PBE", "state": "relaxed", "total_energy_ev_per_cell": -67.0, "lattice": [[-1.527, -2.408, 0.926], [4.608, 0.458, 8.786], [-7.198, 5.899, 3.468]], "species": ["Li", "Li", "Li", "Li", "Al", "Al", "Al", "Al", "Zn", "Zn", "Cu", "Cu", "Cu", "Cu", "Cu", "Cu", "Cu", "Cu", "Cu", "Cu"], "frac_coords": [[0.000, 0.666, 0.166], [0.000, 0.334, 0.834], [0.000, 0.166, 0.334], [0.000, 0.834, 0.666], [0.000, 0.136, 0.636], [0.000, 0.864, 0.364], [0.000, 0.636, 0.864], [0.000, 0.364, 0.136], [0.000, 0.000, 0.000], [0.000, 0.500, 0.500], [0.500, 0.190, 0.049], [0.500, 0.810, 0.951], [0.500, 0.049, 0.810], [0.500, 0.690, 0.451], [0.500, 0.951, 0.190], [0.500, 0.310, 0.549], [0.500, 0.549, 0.690], [0.500, 0.451, 0.310], [0.500, 0.500, 0.000], [0.500, 0.000, 0.500]]}